Entry from Alexandria: crystalline LiCrCl4 at its relaxed geometry (PBE).

abc: 7.3833 7.0354 7.2679
angles: 61.05 59.47 90.00
Last column: magnetic moment on the atom in μB.
Atoms (fractional coordinates):
1 Li 0.5000 0.5000 0.0000  0.01
2 Li 0.0000 0.5000 0.0000  0.01
3 Cr 0.0000 0.0000 0.5000  2.87
4 Cr 0.0000 0.5000 0.5000  2.87
5 Cl 0.2167 0.2470 0.5061  -0.04
6 Cl 0.2249 0.2323 0.0501  0.00
7 Cl 0.2249 0.7175 0.0501  0.00
8 Cl 0.7772 0.2470 0.5061  -0.04
9 Cl 0.2228 0.7530 0.4939  -0.04
10 Cl 0.7751 0.7677 0.9499  0.00
11 Cl 0.7751 0.2825 0.9499  0.00
12 Cl 0.7833 0.7530 0.4939  -0.04

Relative energy among the computed polymorphs: 0.0000 eV/atom
E_form (uncorrected): -7.94 eV/f.u.